This record from Alexandria describes an optimized crystal structure of Tb2Sm3Er9. The functional is PBE.

Results
Uncorrected energy   -0.1652 Ha/atom
Calculated volume   451.50 Å³/cell

```
data_Tb2Sm3Er9
_symmetry_space_group_name_H-M 'P 1'
_symmetry_Int_Tables_number 1
_symmetry_space_group_name_Hall 'P 1'
_cell_length_a 6.249
_cell_length_b 8.629
_cell_length_c 8.761
_cell_angle_alpha 79.83
_cell_angle_beta 76.19
_cell_angle_gamma 86.84
loop_
_atom_site_label
_atom_site_fract_x
_atom_site_fract_y
_atom_site_fract_z
Tb1 0.000 0.000 0.000
Tb2 0.113 0.072 0.598
Sm1 0.302 0.664 0.033
Sm2 0.481 0.015 0.235
Sm3 0.795 0.419 0.578
Er1 0.020 0.274 0.222
Er2 0.032 0.789 0.396
Er3 0.203 0.371 0.811
Er4 0.353 0.418 0.401
Er5 0.455 0.732 0.594
Er6 0.555 0.043 0.801
Er7 0.640 0.353 0.995
Er8 0.745 0.645 0.199
Er9 0.889 0.707 0.798
```

This record from Alexandria describes an optimized crystal structure of Tm3HgOs. The functional is PBE.

Results
Uncorrected energy   -0.1979 Ha/atom
Calculated volume   244.07 Å³/cell

```
data_Tm3HgOs
_symmetry_space_group_name_H-M 'P 1'
_symmetry_Int_Tables_number 1
_symmetry_space_group_name_Hall 'P 1'
_cell_length_a 9.301
_cell_length_b 8.599
_cell_length_c 5.750
_cell_angle_alpha 78.03
_cell_angle_beta 64.76
_cell_angle_gamma 37.21
loop_
_atom_site_label
_atom_site_fract_x
_atom_site_fract_y
_atom_site_fract_z
Tm1 0.200 0.200 0.800
Tm2 0.203 0.575 0.425
Tm3 0.425 0.797 0.203
Tm4 0.575 0.203 0.797
Tm5 0.797 0.425 0.575
Tm6 0.800 0.800 0.200
Hg1 0.216 0.784 0.784
Hg2 0.784 0.216 0.216
Os1 0.250 0.250 0.250
Os2 0.750 0.750 0.750
```